[1]
## CrReAs2Se (PBE)

Data for a relaxed CrReAs2Se crystal.

Crystal system: tetragonal
Uncorrected formation energy (eV/atom): 1.167

a b c (Å): 4.597 4.597 4.816
angles (deg): 90.00 90.00 90.00
Each line ends with the local moment (μB).
Fractional coordinates of all 5 atoms:
Re  0.500  0.500  0.500  2.89
As  0.000  0.500  0.000  -0.18
As  0.500  0.000  0.000  -0.18
Se  0.000  0.000  0.500  -0.12
Cr  0.000  0.000  0.000  1.97

=====

[2]
## AcCeP2 (PBE)

Data for a relaxed AcCeP2 crystal.

ΔE_f (eV/f.u.): -5.82
Crystal system: trigonal

a b c (Å): 4.261 4.261 7.415
angles (deg): 73.30 73.30 60.00
Each line ends with the local moment (μB).
Fractional coordinates of all 4 atoms:
Ac  0.500  0.500  0.500  0.01
Ce  0.000  0.000  0.000  0.53
P  0.742  0.742  0.773  -0.02
P  0.258  0.258  0.227  -0.02

=====

no.,ρ (kg/m3),DOS at the Fermi energy (states/eV per atom),total magnetic moment (Bohr magnetons per cell)
1,7618,0.6948,4.79
2,6478,1.2862,0.58